The following is a GGA-PBE calculation of a relaxed LiCoNi2H crystal, from Alexandria.

Geometry as CIF:
```
data_LiCoNi2H
_chemical_formula_sum 'Li1 Co1 Ni2 H1'
_space_group_name_H-M_alt 'P 4/m m m'
_space_group_IT_number 123
_space_group_name_Hall '-P 4 2'
_cell_length_a 3.596
_cell_length_b 3.596
_cell_length_c 3.591
_cell_angle_alpha 90.00
_cell_angle_beta 90.00
_cell_angle_gamma 90.00
loop_
_atom_site_label
_atom_site_type_symbol
_atom_site_fract_x
_atom_site_fract_y
_atom_site_fract_z
_atom_site_occupancy
Li1 Li 0.000 0.000 0.000 1
Co1 Co 0.500 0.500 0.000 1
Ni1 Ni 0.000 0.500 0.500 1
H1 H 0.500 0.500 0.500 1
```

- Magnetization: 0.438 μB per atom
- Calculated total energy: -23.66 eV for the cell shown



The following is a GGA-PBE calculation of a relaxed Li2CoNiH crystal, from Alexandria.

Geometry as CIF:
```
data_Li2CoNiH
_chemical_formula_sum 'Li2 Co1 Ni1 H1'
_space_group_name_H-M_alt 'P 4/m m m'
_space_group_IT_number 123
_space_group_name_Hall '-P 4 2'
_cell_length_a 3.595
_cell_length_b 3.595
_cell_length_c 3.680
_cell_angle_alpha 90.00
_cell_angle_beta 90.00
_cell_angle_gamma 90.00
loop_
_atom_site_label
_atom_site_type_symbol
_atom_site_fract_x
_atom_site_fract_y
_atom_site_fract_z
_atom_site_occupancy
Li1 Li 0.000 0.500 0.000 1
Co1 Co 0.000 0.000 0.500 1
Ni1 Ni 0.500 0.500 0.500 1
H1 H 0.000 0.000 0.000 1
```

- Magnetization: 0.355 μB per atom
- Calculated total energy: -19.67 eV for the cell shown